1.
The following is a DFT calculation (PBEsol) of an optimized crystal structure of ZnCdCl2.

Cell: 3.849 3.849 11.955 Å, 90.00 90.00 90.00°
Space group I-4m2 (No. 119)
Inequivalent atoms, fractional coordinates:
Zn  0.000  0.000  0.000 (multiplicity 2)
Cd  0.000  0.500  0.250 (multiplicity 2)
Cl  0.000  0.000  0.500 (multiplicity 2)
Cl  0.000  0.500  0.750 (multiplicity 2)

Summary:
VASP energy, eV per cell: -15.5
DOS(E_F), states/eV/f.u.: 2.239
Excess energy over the best structure of this formula in the dataset, meV/atom: 170
Magnetization, μB/f.u.: 0.0
Raw formation energy, meV/atom: -235

2.
The following is a DFT calculation (PBEsol) of an optimized crystal structure of Zn2CdCl.

Cell: 5.029 5.029 2.919 Å, 90.00 90.00 90.00°
Space group P4/mmm (No. 123)
Inequivalent atoms, fractional coordinates:
Zn  0.000  0.500  0.000 (multiplicity 2)
Cd  0.000  0.000  0.500 (multiplicity 1)
Cl  0.500  0.500  0.500 (multiplicity 1)

Summary:
VASP energy, eV per cell: -6.3
DOS(E_F), states/eV/f.u.: 1.444
Excess energy over the best structure of this formula in the dataset, meV/atom: 0
Magnetization, μB/f.u.: 0.0
Raw formation energy, meV/atom: 25

3.
The following is a DFT calculation (PBEsol) of an optimized crystal structure of Zn2CdCl.

Cell: 3.295 5.331 4.496 Å, 90.00 94.93 90.00°
Space group P2/m (No. 10)
Inequivalent atoms, fractional coordinates:
Zn  0.226  0.000  0.252 (multiplicity 2)
Cd  0.000  0.500  0.500 (multiplicity 1)
Cl  0.500  0.500  0.000 (multiplicity 1)

Summary:
VASP energy, eV per cell: -6.2
DOS(E_F), states/eV/f.u.: 1.604
Excess energy over the best structure of this formula in the dataset, meV/atom: 25
Magnetization, μB/f.u.: 0.0
Raw formation energy, meV/atom: 50

4.
The following is a DFT calculation (PBEsol) of an optimized crystal structure of ZnCd3Cl.

Cell: 5.047 5.047 5.047 Å, 90.00 90.00 90.00°
Space group Pm-3m (No. 221)
Inequivalent atoms, fractional coordinates:
Zn  0.000  0.000  0.000 (multiplicity 1)
Cd  0.000  0.000  0.500 (multiplicity 3)
Cl  0.500  0.500  0.500 (multiplicity 1)

Summary:
VASP energy, eV per cell: -7.0
DOS(E_F), states/eV/f.u.: 1.119
Magnetization, μB/f.u.: 0.0
Raw formation energy, meV/atom: 27

5.
The following is a DFT calculation (PBEsol) of an optimized crystal structure of Zn3CdCl.

Cell: 4.850 4.850 4.850 Å, 90.00 90.00 90.00°
Space group Pm-3m (No. 221)
Inequivalent atoms, fractional coordinates:
Zn  0.000  0.000  0.500 (multiplicity 3)
Cd  0.500  0.500  0.500 (multiplicity 1)
Cl  0.000  0.000  0.000 (multiplicity 1)

Summary:
VASP energy, eV per cell: -4.9
DOS(E_F), states/eV/f.u.: 2.890
Magnetization, μB/f.u.: 0.0
Raw formation energy, meV/atom: 600

6.
The following is a DFT calculation (PBEsol) of an optimized crystal structure of ZnCdCl2.

Cell: 3.288 3.288 8.622 Å, 90.00 90.00 90.00°
Space group P4/mmm (No. 123)
Inequivalent atoms, fractional coordinates:
Zn  0.000  0.000  0.000 (multiplicity 1)
Cd  0.000  0.000  0.500 (multiplicity 1)
Cl  0.500  0.500  0.318 (multiplicity 2)

Summary:
VASP energy, eV per cell: -8.0
DOS(E_F), states/eV/f.u.: 0.503
Excess energy over the best structure of this formula in the dataset, meV/atom: 111
Magnetization, μB/f.u.: 0.0
Raw formation energy, meV/atom: -293

7.
The following is a DFT calculation (PBEsol) of an optimized crystal structure of ZrCd2Cl.

Cell: 9.473 3.125 5.707 Å, 90.00 101.03 90.00°
Space group Cm (No. 8)
Inequivalent atoms, fractional coordinates:
Zr  0.000  0.000  0.000 (multiplicity 2)
Cd  0.003  0.500  0.477 (multiplicity 2)
Cd  0.254  0.000  0.666 (multiplicity 2)
Cl  0.225  0.500  0.108 (multiplicity 2)

Summary:
VASP energy, eV per cell: -29.6
DOS(E_F), states/eV/f.u.: 2.463
Magnetization, μB/f.u.: 0.0
Raw formation energy, meV/atom: -330

8.
The following is a DFT calculation (PBEsol) of an optimized crystal structure of CdCo2.

Cell: 5.791 5.791 5.208 Å, 90.00 90.00 90.00°
Space group I4/mcm (No. 140)
Inequivalent atoms, fractional coordinates:
Cd  0.000  0.000  0.250 (multiplicity 4)
Co  0.128  0.372  0.000 (multiplicity 8)

Summary:
VASP energy, eV per cell: -57.5
DOS(E_F), states/eV/f.u.: 3.485
Magnetization, μB/f.u.: 3.2

9.
The following is a DFT calculation (PBEsol) of an optimized crystal structure of Cd3Co.

Cell: 2.9300 2.9300 28.5085 Å, 90.00 90.00 120.00°
Space group R-3m (No. 166, hexagonal axes)
Inequivalent atoms, fractional coordinates:
Cd  0.0000  0.0000  0.0000 (multiplicity 3)
Cd  0.0000  0.0000  0.2397 (multiplicity 6)
Co  0.0000  0.0000  0.5000 (multiplicity 3)

Summary:
VASP energy, eV per cell: -30.9
DOS(E_F), states/eV/f.u.: 4.082
Magnetization, μB/f.u.: 1.4

10.
The following is a DFT calculation (PBEsol) of an optimized crystal structure of CdCo2.

Cell: 3.549 11.698 3.893 Å, 90.00 90.00 90.00°
Space group Cmcm (No. 63)
Inequivalent atoms, fractional coordinates:
Cd  0.000  0.083  0.250 (multiplicity 4)
Co  0.000  0.249  0.750 (multiplicity 4)
Co  0.000  0.380  0.250 (multiplicity 4)

Summary:
VASP energy, eV per cell: -63.0
DOS(E_F), states/eV/f.u.: 3.425
Magnetization, μB/f.u.: 3.1

11.
The following is a DFT calculation (PBEsol) of an optimized crystal structure of Cd3Co2.

Cell: 2.8491 2.8491 33.9368 Å, 90.00 90.00 120.00°
Space group R-3m (No. 166, hexagonal axes)
Inequivalent atoms, fractional coordinates:
Cd  0.0000  0.0000  0.0000 (multiplicity 3)
Cd  0.0000  0.0000  0.2066 (multiplicity 6)
Co  0.0000  0.0000  0.3967 (multiplicity 6)

Summary:
VASP energy, eV per cell: -51.5
DOS(E_F), states/eV/f.u.: 5.901
Magnetization, μB/f.u.: 2.8

12.
The following is a DFT calculation (PBEsol) of an optimized crystal structure of CdCo4.

Cell: 5.732 5.732 3.656 Å, 90.00 90.00 90.00°
Space group I4/m (No. 87)
Inequivalent atoms, fractional coordinates:
Cd  0.000  0.000  0.000 (multiplicity 2)
Co  0.084  0.311  0.500 (multiplicity 8)

Summary:
VASP energy, eV per cell: -61.6
DOS(E_F), states/eV/f.u.: 5.530
Magnetization, μB/f.u.: 6.1